# 1
Computed, not measured: Cd2GaHg7 after structural relaxation at the GGA-PBE level of DFT.

a = 16.5866 Å, b = 7.4266 Å, c = 11.4619 Å
α = 90.00°, β = 132.61°, γ = 90.00°
Last column: nearest neighbours and their distance in Å.
Space group C2/c (No. 15)
Unique sites:
1 Cd 0.1730 0.1602 0.0926  8 Hg 3.00-3.22
2 Ga 0.0000 0.1236 0.2500  7 Hg 2.90-3.06
3 Hg 0.0000 0.2670 0.7500  1 Ga 2.90, 2 Cd 3.00, 2 Hg 3.07
4 Hg 0.0953 0.2220 0.5705  1 Ga 2.94, 2 Cd 3.06-3.22, 3 Hg 3.16-3.29
5 Hg 0.1137 0.4194 0.2359  1 Ga 2.97, 4 Hg 3.07-3.16, 2 Cd 3.09-3.19
6 Hg 0.2322 0.0178 0.4026  1 Ga 3.06, 3 Cd 3.07-3.22, 4 Hg 3.09-3.37

Calculated values
As for the spin magnetization: 0.000 μB per atom. The value obtained for the formation energy is 0.038 eV/atom. The calculation puts the density at 10.86 g/cm3.



# 2
Computed, not measured: Cd2GaHg4 after structural relaxation at the GGA-PBE level of DFT.

a = 4.9602 Å, b = 4.9602 Å, c = 25.1961 Å
α = 90.00°, β = 90.00°, γ = 120.00°
Last column: nearest neighbours and their distance in Å.
Space group R-3m (No. 166, hexagonal axes)
Unique sites:
1 Cd 0.0000 0.0000 0.2503  8 Hg 3.00-3.25
2 Ga 0.0000 0.0000 0.0000  8 Hg 3.09-3.31
3 Hg 0.0000 0.0000 0.1314  4 Cd 3.00-3.11, 1 Ga 3.31
4 Hg 0.0000 0.0000 0.3793  4 Cd 3.01-3.25, 3 Ga 3.09

Calculated values
As for the spin magnetization: 0.000 μB per atom. The value obtained for the formation energy is 0.048 eV/atom. The value obtained for the energy above the most stable polymorph in this dataset is 0.03 kcal/mol of atoms. The calculation puts the density at 10.18 g/cm3.



# 3
Computed, not measured: Cd6Ga2Hg3 after structural relaxation at the GGA-PBE level of DFT.

a = 3.3956 Å, b = 3.3956 Å, c = 75.9326 Å
α = 90.00°, β = 90.00°, γ = 120.00°
Last column: nearest neighbours and their distance in Å.
Space group R-3m (No. 166, hexagonal axes)
Unique sites:
1 Cd 0.0000 0.0000 0.0939  3 Ga 2.93, 3 Hg 3.07
2 Cd 0.0000 0.0000 0.1821  3 Ga 2.93, 3 Cd 3.05
3 Cd 0.0000 0.0000 0.3647  6 Hg 3.08-3.09, 6 Cd 3.40
4 Ga 0.0000 0.0000 0.4559  6 Cd 2.93
5 Hg 0.0000 0.0000 0.0000  6 Cd 3.08, 6 Hg 3.40
6 Hg 0.0000 0.0000 0.2705  6 Cd 3.07-3.09, 6 Hg 3.40

Calculated values
As for the spin magnetization: 0.000 μB per atom. The value obtained for the formation energy is 0.034 eV/atom. The calculation puts the density at 9.30 g/cm3.



# 4
Computed, not measured: Cd5GaHg8 after structural relaxation at the GGA-PBE level of DFT.

a = 8.8697 Å, b = 8.8697 Å, c = 8.8417 Å
α = 90.00°, β = 90.00°, γ = 90.00°
Last column: nearest neighbours and their distance in Å.
Space group I-4 (No. 82)
Unique sites:
1 Cd 0.0000 0.0000 0.0000  8 Hg 3.02-3.24
2 Cd 0.1187 0.2667 0.6498  8 Hg 2.99-3.16
3 Ga 0.0000 0.5000 0.2500  8 Hg 2.92-3.00
4 Hg 0.0708 0.1752 0.3142  1 Ga 3.00, 5 Cd 3.05-3.24, 2 Hg 3.25-3.35
5 Hg 0.0853 0.3293 0.9808  1 Ga 2.92, 5 Cd 2.99-3.14, 1 Hg 3.25

Calculated values
As for the spin magnetization: 0.000 μB per atom. The value obtained for the formation energy is 0.033 eV/atom. The calculation puts the density at 10.68 g/cm3.



# 5
Computed, not measured: CdGa2Hg2 after structural relaxation at the GGA-PBE level of DFT.

a = 8.4579 Å, b = 8.4579 Å, c = 3.2866 Å
α = 90.00°, β = 90.00°, γ = 90.00°
Last column: nearest neighbours and their distance in Å.
Space group P4/mbm (No. 127)
Unique sites:
1 Cd 0.0000 0.0000 0.0000  4 Hg 3.15, 2 Cd 3.29
2 Ga 0.1313 0.3687 0.5000  6 Hg 2.92-3.03, 1 Ga 3.14
3 Hg 0.1670 0.6670 0.0000  6 Ga 2.92-3.03, 2 Cd 3.15

Calculated values
As for the spin magnetization: 0.000 μB per atom. The value obtained for the formation energy is 0.086 eV/atom. The value obtained for the energy above the most stable polymorph in this dataset is 0.74 kcal/mol of atoms. The calculation puts the density at 9.22 g/cm3.



# 6
Computed, not measured: Cd12GaHg16 after structural relaxation at the GGA-PBE level of DFT.

a = 11.3952 Å, b = 16.7830 Å, c = 8.9077 Å
α = 90.00°, β = 121.70°, γ = 90.00°
Last column: nearest neighbours and their distance in Å.
Space group Cm (No. 8)
Unique sites:
1 Cd 0.0000 0.0000 0.0000  1 Ga 2.97, 7 Hg 3.00-3.25, 1 Cd 3.12
2 Cd 0.0343 0.2704 0.9620  3 Cd 3.02-3.09, 6 Hg 3.06-3.21
3 Cd 0.0462 0.0929 0.5349  3 Cd 3.03-3.15, 6 Hg 3.06-3.34, 1 Ga 3.11
4 Cd 0.1455 0.3789 0.7834  8 Hg 3.00-3.27, 1 Cd 3.09
5 Cd 0.2057 0.0000 0.4083  3 Cd 3.03-3.12, 6 Hg 3.04-3.21
6 Cd 0.2658 0.3124 0.3302  3 Cd 3.02-3.15, 7 Hg 3.13-3.30
7 Cd 0.4859 0.0927 0.1451  3 Cd 3.03-3.15, 6 Hg 3.11-3.21, 1 Ga 3.19
8 Ga 0.2052 0.0000 0.8896  5 Cd 2.97-3.19, 5 Hg 3.03-3.32
9 Hg 0.0117 0.5000 0.4763  5 Cd 3.09-3.21, 1 Hg 3.15
10 Hg 0.0524 0.2865 0.4512  5 Cd 3.00-3.34, 2 Hg 3.13-3.35
11 Hg 0.2283 0.1960 0.8602  5 Cd 3.06-3.20, 3 Hg 3.12-3.40, 1 Ga 3.32
12 Hg 0.2395 0.1285 0.1934  5 Cd 3.04-3.27, 4 Hg 3.12-3.38, 1 Ga 3.32
13 Hg 0.2607 0.5000 0.4156  4 Hg 3.00-3.15, 6 Cd 3.18-3.25
14 Hg 0.2647 0.5000 0.0812  4 Hg 3.00-3.27, 3 Cd 3.04-3.12
15 Hg 0.3289 0.1693 0.5875  5 Cd 3.07-3.26, 5 Hg 3.17-3.43
16 Hg 0.3847 0.3742 0.7180  5 Cd 3.00-3.15, 1 Hg 3.12
17 Hg 0.4310 0.0000 0.8066  1 Ga 3.03, 5 Cd 3.10-3.27, 3 Hg 3.27-3.29
18 Hg 0.4338 0.3398 0.1478  5 Cd 3.08-3.25, 4 Hg 3.13-3.40

Calculated values
As for the spin magnetization: 0.000 μB per atom. The value obtained for the formation energy is 0.031 eV/atom. The calculation puts the density at 10.60 g/cm3.



# 7
Computed, not measured: Cd2GaHg2 after structural relaxation at the GGA-PBE level of DFT.

a = 4.2452 Å, b = 4.2452 Å, c = 14.2977 Å
α = 90.00°, β = 90.00°, γ = 90.00°
Last column: nearest neighbours and their distance in Å.
Space group I4/mmm (No. 139)
Unique sites:
1 Cd 0.0000 0.0000 0.0977  1 Cd 2.79, 4 Hg 3.04
2 Ga 0.0000 0.0000 0.5000  8 Cd 3.31
3 Hg 0.0000 0.5000 0.2500  4 Hg 3.00, 4 Cd 3.04

Calculated values
As for the spin magnetization: 0.000 μB per atom. The value obtained for the formation energy is 0.142 eV/atom. The value obtained for the energy above the most stable polymorph in this dataset is 0.96 kcal/mol of atoms. The calculation puts the density at 8.97 g/cm3.



# 8
Computed, not measured: Cd2GaHg after structural relaxation at the GGA-PBE level of DFT.

a = 3.5155 Å, b = 3.5155 Å, c = 7.3421 Å
α = 90.00°, β = 90.00°, γ = 90.00°
Last column: nearest neighbours and their distance in Å.
Space group P4/mmm (No. 123)
Unique sites:
1 Cd 0.0000 0.0000 0.2365  4 Ga 3.03, 4 Hg 3.15
2 Ga 0.5000 0.5000 0.0000  8 Cd 3.03
3 Hg 0.5000 0.5000 0.5000  8 Cd 3.15, 4 Hg 3.52

Calculated values
As for the spin magnetization: 0.000 μB per atom. The value obtained for the formation energy is 0.049 eV/atom. The value obtained for the energy above the most stable polymorph in this dataset is 0.23 kcal/mol of atoms. The calculation puts the density at 9.06 g/cm3.